# La3Sm2Ho4

A geometry-optimized La3Sm2Ho4 structure (GGA-PBE, the Alexandria database). Values from VASP.

Computed properties:
Total magnetic moment (Bohr magnetons per cell): 0.0
Energy above the most stable polymorph in this dataset (eV/atom): 0.0054
SG: C2/c, No. 15
V (Å³/atom): 33.51
VASP energy (eV/atom): -4.626
Crystal system: monoclinic

```
&SYSTEM
  ibrav = 0, nat = 18, ntyp = 3
/
ATOMIC_SPECIES
La 138.91 La.upf
Sm 150.36 Sm.upf
Ho 164.93 Ho.upf
CELL_PARAMETERS angstrom
8.258 -5.943 0.000
8.258 5.943 0.000
-0.828 0.000 6.144
ATOMIC_POSITIONS crystal
La 0.125 0.875 0.750
La 0.199 0.476 0.909
La 0.476 0.199 0.409
La 0.524 0.801 0.591
La 0.801 0.524 0.091
La 0.875 0.125 0.250
Sm 0.017 0.756 0.206
Sm 0.244 0.983 0.294
Sm 0.756 0.017 0.706
Sm 0.983 0.244 0.794
Ho 0.109 0.347 0.363
Ho 0.325 0.562 0.462
Ho 0.347 0.109 0.863
Ho 0.438 0.675 0.038
Ho 0.562 0.325 0.962
Ho 0.653 0.891 0.137
Ho 0.675 0.438 0.538
Ho 0.891 0.653 0.637
```